# LiAsPt2

A geometry-optimized LiAsPt2 structure (GGA-PBE, Alexandria via LeMat-Bulk).

Unit cell a=4.5743 b=4.5743 c=4.8092 alpha=82.45 beta=82.45 gamma=37.24
Last column: nearest neighbours and their distance in Å.
Atoms (fractional coordinates):
As 0.7500 0.7500 0.7500  6 Pt 2.62-2.75, 4 Li 2.81, 2 As 2.92
Li 0.2500 0.2500 0.2500  6 Pt 2.62-2.74, 4 As 2.81, 2 Li 2.92
Pt 0.9996 0.9996 0.0022  3 Li 2.62-2.74, 3 As 2.62-2.75, 6 Pt 2.80-2.92
Pt 0.5004 0.5004 0.4978  3 Li 2.62-2.74, 3 As 2.62-2.75, 6 Pt 2.80-2.92

Computed properties:
space-group type = No. 12
ρ = 13.0 g/cm³
volume = 15.1 A^3/atom
magnetization = 0.0000 μB per atom
DFT total energy = -20.2 eV for the cell shown
crystal system = monoclinic
DFT formation energy = -0.396 eV/atom